# 1
Density functional theory data (PBE) for a relaxed structure of MnW3.

Unit cell a=5.5205 b=5.5205 c=9.3521 alpha=90.00 beta=90.00 gamma=60.00
Fractional positions:
Mn1 0.0000 0.0000 0.5000
Mn2 0.6667 0.6667 0.2500
Mn3 0.3333 0.3333 0.7500
Mn4 0.0000 0.0000 0.0000
W1 0.5000 0.5000 0.0000
W2 0.8330 0.3340 0.7500
W3 0.5000 0.0000 0.0000
W4 0.5000 0.0000 0.5000
W5 0.3340 0.8330 0.7500
W6 0.5000 0.5000 0.5000
W7 0.1670 0.6660 0.2500
W8 0.8330 0.8330 0.7500
W9 0.0000 0.5000 0.0000
W10 0.0000 0.5000 0.5000
W11 0.1670 0.1670 0.2500
W12 0.6660 0.1670 0.2500

Summary:
calculated volume: 246.83 Å³/cell
theoretical density: 16.320 g/cm³
crystal system: hexagonal
M_tot: 0.5771 μB per atom
DOS(E_F): 5.474 states/eV/f.u.

# 2
Density functional theory data (PBE) for a relaxed structure of MnW7.

Unit cell a=5.6674 b=5.6674 c=5.6674 alpha=60.00 beta=60.00 gamma=60.00
Fractional positions:
W1 0.0000 0.0000 0.5000
W2 0.0000 0.5000 0.5000
W3 0.5000 0.0000 0.5000
W4 0.5000 0.5000 0.5000
W5 0.5000 0.5000 0.0000
W6 0.5000 0.0000 0.0000
W7 0.0000 0.5000 0.0000
Mn1 0.0000 0.0000 0.0000

Summary:
calculated volume: 128.72 Å³/cell
theoretical density: 17.310 g/cm³
crystal system: cubic
M_tot: 0.3831 μB per atom
DOS(E_F): 11.816 states/eV/f.u.

# 3
Density functional theory data (PBE) for a relaxed structure of MnW5.

Unit cell a=6.7871 b=6.7871 c=4.4304 alpha=90.00 beta=90.00 gamma=152.82
Fractional positions:
W1 0.8356 0.1644 0.0000
W2 0.6641 0.3359 0.5000
W3 0.3359 0.6641 0.5000
W4 0.0000 0.0000 0.5000
W5 0.1644 0.8356 0.0000
Mn1 0.5000 0.5000 0.0000

Summary:
calculated volume: 93.21 Å³/cell
theoretical density: 17.355 g/cm³
crystal system: orthorhombic
ΔE to the lowest computed polymorph: 0.000 eV per atom
M_tot: 0.2709 μB per atom
DOS(E_F): 4.437 states/eV/f.u.

# 4
Density functional theory data (PBE) for a relaxed structure of Mn2W3.

Unit cell a=7.8174 b=6.7670 c=5.2372 alpha=80.16 beta=58.53 gamma=41.31
Fractional positions:
W1 0.4668 0.7470 0.4178
W2 0.9132 0.0868 0.0868
W3 0.5030 0.7832 0.8817
W4 0.1632 0.3368 0.3368
W5 0.3683 0.4178 0.7470
W6 0.8322 0.8817 0.7832
Mn1 0.7030 0.9026 0.3457
Mn2 0.0486 0.3457 0.9026
Mn3 0.3474 0.5470 0.2014
Mn4 0.9043 0.2014 0.5470

Summary:
calculated volume: 143.42 Å³/cell
theoretical density: 15.316 g/cm³
crystal system: orthorhombic
ΔE to the lowest computed polymorph: 0.000 eV per atom
M_tot: 0.0005 μB per atom
DOS(E_F): 6.251 states/eV/f.u.

# 5
Density functional theory data (PBE) for a relaxed structure of Mn5W4.

Unit cell a=6.4448 b=6.4448 c=6.4448 alpha=93.37 beta=93.37 gamma=151.94
Fractional positions:
Mn1 0.3349 0.6651 0.0000
Mn2 0.3349 0.3349 0.6699
Mn3 0.6651 0.3349 0.0000
Mn4 0.0000 0.0000 0.0000
Mn5 0.6651 0.6651 0.3301
W1 0.0000 0.3208 0.3208
W2 0.6792 0.0000 0.6792
W3 0.3208 0.0000 0.3208
W4 0.0000 0.6792 0.6792

Summary:
calculated volume: 122.17 Å³/cell
theoretical density: 13.728 g/cm³
crystal system: tetragonal
ΔE to the lowest computed polymorph: 0.000 eV per atom
M_tot: 0.6793 μB per atom
DOS(E_F): 6.698 states/eV/f.u.

# 6
Density functional theory data (PBE) for a relaxed structure of YMn3W.

Unit cell a=4.6790 b=4.6790 c=4.6790 alpha=90.00 beta=90.00 gamma=90.00
Fractional positions:
Mn1 0.0000 0.5000 0.0000
Mn2 0.5000 0.0000 0.0000
Mn3 0.0000 0.0000 0.5000
W1 0.0000 0.0000 0.0000
Y1 0.5000 0.5000 0.5000

Summary:
calculated volume: 102.44 Å³/cell
theoretical density: 7.093 g/cm³
crystal system: cubic
ΔE to the lowest computed polymorph: 0.000 eV per atom
M_tot: 1.5415 μB per atom
DOS(E_F): 6.763 states/eV/f.u.

# 7
Density functional theory data (PBE) for a relaxed structure of YMnW.

Unit cell a=4.3649 b=4.3649 c=4.3649 alpha=60.00 beta=60.00 gamma=60.00
Fractional positions:
Mn1 0.7500 0.7500 0.7500
W1 0.0000 0.0000 0.0000
Y1 0.5000 0.5000 0.5000

Summary:
calculated volume: 58.80 Å³/cell
theoretical density: 9.253 g/cm³
crystal system: cubic
ΔE to the lowest computed polymorph: 0.439 eV per atom
M_tot: 0.0007 μB per atom
DOS(E_F): 4.908 states/eV/f.u.

# 8
Density functional theory data (PBE) for a relaxed structure of YMnW.

Unit cell a=4.6552 b=4.6552 c=4.6552 alpha=60.00 beta=60.00 gamma=60.00
Fractional positions:
Mn1 0.0000 0.0000 0.0000
Y1 0.7500 0.7500 0.7500
W1 0.5000 0.5000 0.5000

Summary:
calculated volume: 71.33 Å³/cell
theoretical density: 7.628 g/cm³
crystal system: cubic
ΔE to the lowest computed polymorph: 1.447 eV per atom
M_tot: 0.3633 μB per atom
DOS(E_F): 2.977 states/eV/f.u.

no.,energy of formation (kJ/mol of atoms)
1,37.9
2,42.2
3,8.1
4,31.2
5,11.1
6,81.3
7,72.3
8,169.6